i.
# InCoNi, single point on PBEsol structure, DFT SCAN
# N(E_F), states/eV/f.u.: 3.25
data_InCoNi
_chemical_formula_sum 'In1 Co1 Ni1'
_symmetry_space_group_name_H-M 'P -6 m 2'
_symmetry_Int_Tables_number 187
_symmetry_space_group_name_Hall 'P -6 2'
_cell_length_a 4.1041
_cell_length_b 4.1041
_cell_length_c 2.7689
_cell_angle_alpha 90.00
_cell_angle_beta 90.00
_cell_angle_gamma 120.00
loop_
_atom_site_label
_atom_site_type_symbol
_atom_site_fract_x
_atom_site_fract_y
_atom_site_fract_z
In1 In 0.0000 0.0000 0.0000
Co1 Co 0.6667 0.3333 0.5000
Ni1 Ni 0.3333 0.6667 0.5000

ii.
# InCoNi, single point on PBEsol structure, DFT SCAN
# N(E_F), states/eV/f.u.: 2.19
data_InCoNi
_chemical_formula_sum 'In4 Co4 Ni4'
_symmetry_space_group_name_H-M 'F -4 3 m'
_symmetry_Int_Tables_number 216
_symmetry_space_group_name_Hall 'F -4 2 3'
_cell_length_a 5.774
_cell_length_b 5.774
_cell_length_c 5.774
_cell_angle_alpha 90.00
_cell_angle_beta 90.00
_cell_angle_gamma 90.00
loop_
_atom_site_label
_atom_site_type_symbol
_atom_site_fract_x
_atom_site_fract_y
_atom_site_fract_z
In1 In 0.000 0.000 0.000
Co1 Co 0.250 0.250 0.750
Ni1 Ni 0.250 0.250 0.250

Which structure is the least stable? The one labeled ii.

i.
# InCo3Se, single point on PBEsol structure, DFT SCAN
# N(E_F), states/eV/f.u.: 2.56
data_InCo3Se
_chemical_formula_sum 'In1 Co3 Se1'
_symmetry_space_group_name_H-M 'P m -3 m'
_symmetry_Int_Tables_number 221
_symmetry_space_group_name_Hall '-P 4 2 3'
_cell_length_a 4.612
_cell_length_b 4.612
_cell_length_c 4.612
_cell_angle_alpha 90.00
_cell_angle_beta 90.00
_cell_angle_gamma 90.00
loop_
_atom_site_label
_atom_site_type_symbol
_atom_site_fract_x
_atom_site_fract_y
_atom_site_fract_z
In1 In 0.000 0.000 0.000
Co1 Co 0.000 0.000 0.500
Se1 Se 0.500 0.500 0.500

ii.
# InCo3Se, single point on PBEsol structure, DFT SCAN
# N(E_F), states/eV/f.u.: 2.28
data_InCo3Se
_chemical_formula_sum 'In1 Co3 Se1'
_symmetry_space_group_name_H-M 'P m -3 m'
_symmetry_Int_Tables_number 221
_symmetry_space_group_name_Hall '-P 4 2 3'
_cell_length_a 4.257
_cell_length_b 4.257
_cell_length_c 4.257
_cell_angle_alpha 90.00
_cell_angle_beta 90.00
_cell_angle_gamma 90.00
loop_
_atom_site_label
_atom_site_type_symbol
_atom_site_fract_x
_atom_site_fract_y
_atom_site_fract_z
In1 In 0.000 0.000 0.000
Co1 Co 0.000 0.500 0.500
Se1 Se 0.500 0.500 0.500

Which structure is the least stable? The one labeled i.

i.
# MnCo2Ir, single point on PBEsol structure, DFT SCAN
# N(E_F), states/eV/f.u.: 2.59
data_MnCo2Ir
_chemical_formula_sum 'Mn1 Co2 Ir1'
_symmetry_space_group_name_H-M 'P 4/m m m'
_symmetry_Int_Tables_number 123
_symmetry_space_group_name_Hall '-P 4 2'
_cell_length_a 3.566
_cell_length_b 3.566
_cell_length_c 3.570
_cell_angle_alpha 90.00
_cell_angle_beta 90.00
_cell_angle_gamma 90.00
loop_
_atom_site_label
_atom_site_type_symbol
_atom_site_fract_x
_atom_site_fract_y
_atom_site_fract_z
Mn1 Mn 0.000 0.000 0.000
Co1 Co 0.000 0.500 0.500
Ir1 Ir 0.500 0.500 0.000

ii.
# MnCo2Ir, single point on PBEsol structure, DFT SCAN
# N(E_F), states/eV/f.u.: 4.04
data_MnCo2Ir
_chemical_formula_sum 'Mn2 Co4 Ir2'
_symmetry_space_group_name_H-M 'C 1 2/m 1'
_symmetry_Int_Tables_number 12
_symmetry_space_group_name_Hall '-C 2y'
_cell_length_a 8.296
_cell_length_b 2.551
_cell_length_c 4.354
_cell_angle_alpha 90.00
_cell_angle_beta 100.54
_cell_angle_gamma 90.00
loop_
_atom_site_label
_atom_site_type_symbol
_atom_site_fract_x
_atom_site_fract_y
_atom_site_fract_z
Mn1 Mn 0.000 0.000 0.000
Co1 Co 0.249 0.500 0.237
Ir1 Ir 0.000 0.500 0.500

Which structure is the least stable? The one labeled ii.

i.
# CoNi2Ir, single point on PBEsol structure, DFT SCAN
# N(E_F), states/eV/f.u.: 3.19
data_CoNi2Ir
_chemical_formula_sum 'Co2 Ni4 Ir2'
_symmetry_space_group_name_H-M 'I -4 m 2'
_symmetry_Int_Tables_number 119
_symmetry_space_group_name_Hall 'I -4 -2'
_cell_length_a 3.556
_cell_length_b 3.556
_cell_length_c 7.098
_cell_angle_alpha 90.00
_cell_angle_beta 90.00
_cell_angle_gamma 90.00
loop_
_atom_site_label
_atom_site_type_symbol
_atom_site_fract_x
_atom_site_fract_y
_atom_site_fract_z
Co1 Co 0.000 0.000 0.000
Ni1 Ni 0.000 0.000 0.500
Ni2 Ni 0.000 0.500 0.250
Ir1 Ir 0.000 0.500 0.750

ii.
# CoNi2Ir, single point on PBEsol structure, DFT SCAN
# N(E_F), states/eV/f.u.: 3.57
data_CoNi2Ir
_chemical_formula_sum 'Co1 Ni2 Ir1'
_symmetry_space_group_name_H-M 'P m m m'
_symmetry_Int_Tables_number 47
_symmetry_space_group_name_Hall '-P 2 2'
_cell_length_a 2.549
_cell_length_b 3.568
_cell_length_c 5.036
_cell_angle_alpha 90.00
_cell_angle_beta 90.00
_cell_angle_gamma 90.00
loop_
_atom_site_label
_atom_site_type_symbol
_atom_site_fract_x
_atom_site_fract_y
_atom_site_fract_z
Co1 Co 0.000 0.000 0.000
Ni1 Ni 0.500 0.500 0.241
Ir1 Ir 0.000 0.000 0.500

Which structure is the least stable? The one labeled ii.

i.
# CoNi2Ir, single point on PBEsol structure, DFT SCAN
# N(E_F), states/eV/f.u.: 3.22
data_CoNi2Ir
_chemical_formula_sum 'Co2 Ni4 Ir2'
_symmetry_space_group_name_H-M 'C m m m'
_symmetry_Int_Tables_number 65
_symmetry_space_group_name_Hall '-C 2 2'
_cell_length_a 5.035
_cell_length_b 7.171
_cell_length_c 2.555
_cell_angle_alpha 90.00
_cell_angle_beta 90.00
_cell_angle_gamma 90.00
loop_
_atom_site_label
_atom_site_type_symbol
_atom_site_fract_x
_atom_site_fract_y
_atom_site_fract_z
Co1 Co 0.000 0.000 0.000
Ni1 Ni 0.250 0.250 0.500
Ir1 Ir 0.000 0.500 0.000

ii.
# CoNi2Ir, single point on PBEsol structure, DFT SCAN
# N(E_F), states/eV/f.u.: 4.61
data_CoNi2Ir
_chemical_formula_sum 'Co1 Ni2 Ir1'
_symmetry_space_group_name_H-M 'P m m 2'
_symmetry_Int_Tables_number 25
_symmetry_space_group_name_Hall 'P 2 -2'
_cell_length_a 2.568
_cell_length_b 3.522
_cell_length_c 5.014
_cell_angle_alpha 90.00
_cell_angle_beta 90.00
_cell_angle_gamma 90.00
loop_
_atom_site_label
_atom_site_type_symbol
_atom_site_fract_x
_atom_site_fract_y
_atom_site_fract_z
Co1 Co 0.000 0.000 0.000
Ni1 Ni 0.000 0.000 0.510
Ni2 Ni 0.500 0.500 0.750
Ir1 Ir 0.500 0.500 0.248

iii.
# CoNi2Ir, single point on PBEsol structure, DFT SCAN
# N(E_F), states/eV/f.u.: 3.75
data_CoNi2Ir
_chemical_formula_sum 'Co2 Ni4 Ir2'
_symmetry_space_group_name_H-M 'C 1 2/m 1'
_symmetry_Int_Tables_number 12
_symmetry_space_group_name_Hall '-C 2y'
_cell_length_a 8.378
_cell_length_b 2.562
_cell_length_c 4.345
_cell_angle_alpha 90.00
_cell_angle_beta 100.75
_cell_angle_gamma 90.00
loop_
_atom_site_label
_atom_site_type_symbol
_atom_site_fract_x
_atom_site_fract_y
_atom_site_fract_z
Co1 Co 0.000 0.000 0.000
Ni1 Ni 0.249 0.500 0.244
Ir1 Ir 0.000 0.500 0.500

Which structure is the least stable? The one labeled ii.